Record 1
DFT (PBE) results for a relaxed structure of Rb3Ac3TmO8.

a b c (Å): 7.9749 7.9749 7.9749
angles (deg): 56.39 56.39 56.39
Last column: nearest neighbours and their distance in Å.
Fractional positions:
Rb 0.0000 0.5000 0.5000  6 O 3.02-3.04
Rb 0.5000 0.0000 0.5000  6 O 3.02-3.04
Rb 0.5000 0.5000 0.0000  6 O 3.02-3.04
Ac 0.0000 0.0000 0.5000  6 O 2.51-2.53
Ac 0.0000 0.5000 0.0000  6 O 2.51-2.53
Ac 0.5000 0.0000 0.0000  6 O 2.51-2.53
Tm 0.5000 0.5000 0.5000  6 O 2.30
O 0.2288 0.2288 0.2288  3 Ac 2.51
O 0.2499 0.7096 0.7096  1 Tm 2.30, 2 Ac 2.53
O 0.2904 0.2904 0.7501  1 Tm 2.30, 2 Ac 2.53
O 0.2904 0.7501 0.2904  1 Tm 2.30, 2 Ac 2.53
O 0.7096 0.2499 0.7096  1 Tm 2.30, 2 Ac 2.53
O 0.7096 0.7096 0.2499  1 Tm 2.30, 2 Ac 2.53
O 0.7501 0.2904 0.2904  1 Tm 2.30, 2 Ac 2.53
O 0.7712 0.7712 0.7712  3 Ac 2.51

Output
- Space-group type: R-3m (166)
- V: 21.9 Å³/atom
- Fermi-level density of states: 0.9821 states/eV/atom
- ΔE_f (raw): -2.5716 eV per atom
- Total DFT energy (no corrections): -97.94 eV per cell

=====

Record 2
DFT (PBE) results for a relaxed structure of RbAc2UO6.

a b c (Å): 6.6700 6.6700 6.6700
angles (deg): 57.35 57.35 57.35
Last column: nearest neighbours and their distance in Å.
Fractional positions:
Rb 0.0000 0.0000 0.0000  3 O 2.76
Ac 0.2284 0.2284 0.2284  6 O 2.46-2.61
Ac 0.7431 0.7431 0.7431  6 O 2.51-2.61
U 0.5346 0.5346 0.5346  6 O 2.16-2.21
O 0.1717 0.4661 0.7873  1 U 2.21
O 0.3950 0.8937 0.5724  1 U 2.16
O 0.4661 0.7873 0.1717  1 U 2.21
O 0.5724 0.3950 0.8937  1 U 2.16
O 0.7873 0.1717 0.4661  1 U 2.21
O 0.8937 0.5724 0.3950  1 U 2.16

Output
- Space-group type: R3 (146)
- V: 19.7 Å³/atom
- ΔE_f (raw): -3.0740 eV per atom
- Total DFT energy (no corrections): -80.96 eV per cell